[1]
Computed, not measured: an optimized crystal structure of Li3Np3ScTe8 at the PBE level of DFT.

abc: 8.651 8.651 8.617
angles: 120.10 90.03 119.99
Last column: magnetic moment on the atom in μB.
Sites, in units of the cell vectors:
Te 0.243 0.004 0.748  0.09
Te 0.247 0.494 0.240  0.10
Te 0.757 0.513 0.252  0.09
Te 0.243 0.487 0.748  0.09
Te 0.757 0.996 0.252  0.09
Te 0.761 0.004 0.748  0.09
Te 0.753 0.506 0.760  0.10
Te 0.239 0.996 0.252  0.09
Np 0.500 0.000 0.500  -3.83
Np 0.500 0.500 0.500  -3.83
Np 0.000 0.500 0.500  -3.83
Li 0.000 0.000 0.000  0.01
Li 0.500 0.500 0.000  0.01
Li 0.000 0.500 0.000  0.01
Sc 0.000 0.000 0.500  -0.04

Summary:
Space group: R-3m, No. 166
D(E_F), states/eV/cell: 27.88
Crystal system: trigonal
Calculated total energy, eV/atom: -5.92
Formation energy (no corrections), eV per atom: -0.85

[2]
Computed, not measured: an optimized crystal structure of HfAs2O at the PBE level of DFT.

abc: 5.387 5.387 6.945
angles: 67.18 67.18 90.00
Sites, in units of the cell vectors:
As 0.375 0.455 0.750
As 0.205 0.625 0.250
As 0.545 0.125 0.250
As 0.875 0.795 0.750
O 0.250 0.750 0.500
O 0.500 0.500 0.000
Hf 0.000 0.000 0.000
Hf 0.750 0.250 0.500

Summary:
Space group: I-42d, No. 122
D(E_F), states/eV/cell: 5.84
Crystal system: tetragonal
Calculated total energy, eV/atom: -6.03
Formation energy (no corrections), eV per atom: 0.02

[3]
Computed, not measured: an optimized crystal structure of PdRuPt at the PBE level of DFT.

abc: 2.755 4.529 7.343
angles: 90.00 100.81 90.00
Last column: magnetic moment on the atom in μB.
Sites, in units of the cell vectors:
Pt 0.892 0.750 0.784  0.12
Pt 0.108 0.250 0.216  0.12
Pd 0.783 0.250 0.565  0.10
Pd 0.217 0.750 0.435  0.10
Ru 0.554 0.750 0.108  0.39
Ru 0.446 0.250 0.892  0.39

Summary:
Space group: Cmcm, No. 63
D(E_F), states/eV/cell: 11.16
Crystal system: orthorhombic
Calculated total energy, eV/atom: -6.75
Relative energy among the computed polymorphs, eV/atom: 0.020

[4]
Computed, not measured: an optimized crystal structure of TiMnBeNb at the PBE level of DFT.

abc: 4.257 4.257 4.257
angles: 60.00 60.00 60.00
Sites, in units of the cell vectors:
Nb 0.750 0.750 0.750
Be 0.500 0.500 0.500
Mn 0.000 0.000 0.000
Ti 0.250 0.250 0.250

Summary:
Space group: F-43m, No. 216
D(E_F), states/eV/cell: 1.64
Crystal system: cubic
Calculated total energy, eV/atom: -7.82
Relative energy among the computed polymorphs, eV/atom: 0.062

[5]
Computed, not measured: an optimized crystal structure of GaReSiRh2 at the PBE level of DFT.

abc: 4.762 4.645 4.762
angles: 90.00 90.00 90.00
Sites, in units of the cell vectors:
Ga 0.500 0.500 0.500
Re 0.000 0.000 0.000
Si 0.000 0.500 0.000
Rh 0.000 0.000 0.500
Rh 0.500 0.000 0.000

Summary:
Space group: P4/mmm, No. 123
D(E_F), states/eV/cell: 4.01
Crystal system: tetragonal
Calculated total energy, eV/atom: -6.13
Formation energy (no corrections), eV per atom: 0.99

[6]
Computed, not measured: an optimized crystal structure of TlCd2Ge at the PBE level of DFT.

abc: 3.879 3.879 8.220
angles: 76.35 76.35 60.00
Sites, in units of the cell vectors:
Cd 0.739 0.739 0.783
Cd 0.261 0.261 0.217
Tl 0.500 0.500 0.500
Ge 0.000 0.000 0.000

Summary:
Space group: R-3m, No. 166
D(E_F), states/eV/cell: 1.61
Crystal system: trigonal
Calculated total energy, eV/atom: -2.02
Relative energy among the computed polymorphs, eV/atom: 0.045

[7]
Computed, not measured: an optimized crystal structure of NaU4S8 at the PBE level of DFT.

abc: 7.983 7.983 8.040
angles: 104.00 104.83 119.91
Last column: magnetic moment on the atom in μB.
Sites, in units of the cell vectors:
U 0.738 0.236 0.974  2.18
U 0.248 0.248 0.000  2.21
U 0.752 0.752 0.000  2.21
U 0.262 0.764 0.026  2.18
S 0.185 0.025 0.210  -0.07
S 0.300 0.966 0.795  -0.07
S 0.171 0.505 0.205  -0.07
S 0.815 0.975 0.790  -0.07
S 0.829 0.495 0.795  -0.07
S 0.313 0.493 0.805  -0.07
S 0.687 0.507 0.195  -0.07
S 0.700 0.034 0.205  -0.07
Na 0.000 0.500 0.500  0.00

Summary:
Space group: C2/m, No. 12
D(E_F), states/eV/cell: 14.44
Crystal system: monoclinic
Calculated total energy, eV/atom: -7.49
Formation energy (no corrections), eV per atom: -1.37
Relative energy among the computed polymorphs, eV/atom: 0.000

[8]
Computed, not measured: an optimized crystal structure of Ca5HoAs4 at the PBE level of DFT.

abc: 4.369 7.927 9.658
angles: 114.12 103.07 90.00
Last column: magnetic moment on the atom in μB.
Sites, in units of the cell vectors:
Ho 0.500 0.000 0.000  0.07
As 0.000 0.248 0.000  -0.01
As 0.304 0.804 0.608  0.00
As 0.696 0.196 0.392  0.00
As 0.000 0.752 0.000  -0.01
Ca 0.500 0.500 0.000  0.04
Ca 0.833 0.072 0.666  0.03
Ca 0.833 0.594 0.666  0.03
Ca 0.167 0.928 0.334  0.03
Ca 0.167 0.406 0.334  0.03

Summary:
Space group: C2/m, No. 12
D(E_F), states/eV/cell: 4.31
Crystal system: monoclinic
Calculated total energy, eV/atom: -4.41